Record 1
First-principles (GGA-PBE) data for a relaxed structure of KSeIO2, as listed in the Alexandria database.

Geometry as POSCAR:
```
KSeIO2
1.0
4.710 0.000 0.000
0.000 4.710 0.000
0.000 0.000 7.409
K Se I O
1 1 1 2
direct
0.000 0.000 0.000
0.500 0.500 0.500
0.000 0.000 0.500
0.000 0.500 0.000
0.500 0.000 0.000
```

Output
Total magnetization   3.6 μB/f.u.
Space-group type   P4/mmm, No. 123
Formation energy from raw total energies   0.737 eV per atom
Offset from the most stable computed form   1023 meV per atom
V   164.3 Å³/f.u.

***

Record 2
First-principles (GGA-PBE) data for a relaxed structure of SnHOs2, as listed in the Alexandria database.

Geometry as POSCAR:
```
SnHOs2
1.0
4.478 0.000 0.000
1.331 4.503 0.000
1.552 -0.359 5.822
Sn H Os
2 2 4
direct
0.000 0.000 0.000
0.496 0.666 0.440
0.129 0.506 0.176
0.618 0.642 0.941
0.365 0.202 0.290
0.409 0.395 0.894
0.829 0.066 0.543
0.950 0.530 0.684
```

Output
Total magnetization   0.0 μB/f.u.
Space-group type   P1, No. 1
Offset from the most stable computed form   59 meV per atom
V   58.7 Å³/f.u.

***

Record 3
First-principles (GGA-PBE) data for a relaxed structure of Ta2TiMo6W2, as listed in the Alexandria database.

Geometry as POSCAR:
```
Ta2TiMo6W2
1.0
2.796 1.614 7.232
-2.796 1.614 7.232
0.000 -3.229 7.232
Ta Ti Mo W
2 1 6 2
direct
0.235 0.235 0.235
0.765 0.765 0.765
0.000 0.000 0.000
0.206 0.725 0.725
0.275 0.275 0.794
0.275 0.794 0.275
0.725 0.206 0.725
0.725 0.725 0.206
0.794 0.275 0.275
0.360 0.360 0.360
0.640 0.640 0.640
```

Output
Total magnetization   0.0 μB/f.u.
DFT total energy   -10.55 eV per atom
Space-group type   R-3m, No. 166
V   195.9 Å³/f.u.

***

Record 4
First-principles (GGA-PBE) data for a relaxed structure of Ac12TlIr6, as listed in the Alexandria database.

Geometry as POSCAR:
```
Ac12TlIr6
1.0
-5.438 5.438 5.438
5.438 -5.438 5.438
5.438 5.438 -5.438
Ac Tl Ir
12 1 6
direct
0.131 0.817 0.314
0.183 0.314 0.496
0.183 0.686 0.869
0.314 0.131 0.817
0.314 0.496 0.183
0.496 0.183 0.314
0.504 0.817 0.686
0.686 0.504 0.817
0.686 0.869 0.183
0.817 0.314 0.131
0.817 0.686 0.504
0.869 0.183 0.686
0.000 0.000 0.000
0.127 0.627 0.500
0.373 0.500 0.873
0.500 0.127 0.627
0.500 0.873 0.373
0.627 0.500 0.127
0.873 0.373 0.500
```

Output
Total magnetization   0.0 μB/f.u.
Space-group type   Im-3, No. 204
Offset from the most stable computed form   0 meV per atom
V   643.1 Å³/f.u.

***

Record 5
First-principles (GGA-PBE) data for a relaxed structure of MnVSe2Br, as listed in the Alexandria database.

Geometry as POSCAR:
```
MnVSe2Br
1.0
4.893 0.000 0.000
0.000 4.893 0.000
0.000 0.000 5.091
Mn V Se Br
1 1 2 1
direct
0.000 0.000 0.000
0.500 0.500 0.500
0.000 0.500 0.500
0.500 0.000 0.500
0.500 0.500 0.000
```

Output
Total magnetization   7.1 μB/f.u.
Space-group type   P4/mmm, No. 123
Formation energy from raw total energies   0.079 eV per atom
Offset from the most stable computed form   0 meV per atom
V   121.9 Å³/f.u.

***

Record 6
First-principles (GGA-PBE) data for a relaxed structure of NpPdAu, as listed in the Alexandria database.

Geometry as POSCAR:
```
NpPdAu
1.0
3.627 0.000 0.000
0.000 3.627 0.000
0.000 0.000 9.427
Np Pd Au
2 2 2
direct
0.000 0.000 0.000
0.500 0.500 0.500
0.000 0.000 0.337
0.500 0.500 0.837
0.000 0.000 0.677
0.500 0.500 0.177
```

Output
Total magnetization   3.9 μB/f.u.
Space-group type   I4mm, No. 107
Offset from the most stable computed form   87 meV per atom
V   62.0 Å³/f.u.

***

Record 7
First-principles (GGA-PBE) data for a relaxed structure of LaSc2N, as listed in the Alexandria database.

Geometry as POSCAR:
```
LaSc2N
1.0
3.250 0.000 0.000
-1.625 2.815 0.000
0.000 0.000 27.545
La Sc N
3 6 3
direct
0.000 0.000 0.000
0.333 0.667 0.667
0.667 0.333 0.333
0.000 0.000 0.123
0.000 0.000 0.877
0.333 0.667 0.544
0.333 0.667 0.789
0.667 0.333 0.211
0.667 0.333 0.456
0.000 0.000 0.500
0.333 0.667 0.167
0.667 0.333 0.833
```

Output
Total magnetization   0.0 μB/f.u.
Space-group type   R-3m, No. 166
Formation energy from raw total energies   -0.826 eV per atom
V   84.0 Å³/f.u.

***

Record 8
First-principles (GGA-PBE) data for a relaxed structure of InAgIr2, as listed in the Alexandria database.

Geometry as POSCAR:
```
InAgIr2
1.0
2.862 0.000 0.000
0.000 4.739 0.000
-0.172 0.000 4.933
In Ag Ir
1 1 2
direct
0.000 0.000 0.000
0.500 0.000 0.500
0.247 0.500 0.743
0.753 0.500 0.257
```

Output
Total magnetization   0.0 μB/f.u.
DFT total energy   -5.54 eV per atom
Space-group type   P2/m, No. 10
V   66.9 Å³/f.u.

***

Record 9
First-principles (GGA-PBE) data for a relaxed structure of BaCo2Sb, as listed in the Alexandria database.

Geometry as POSCAR:
```
BaCo2Sb
1.0
4.713 0.000 0.000
0.000 5.901 0.000
0.000 0.000 7.186
Ba Co Sb
2 4 2
direct
0.000 0.000 0.000
0.500 0.500 0.500
0.000 0.500 0.153
0.000 0.500 0.847
0.500 0.000 0.347
0.500 0.000 0.653
0.000 0.000 0.500
0.500 0.500 0.000
```

Output
Total magnetization   3.2 μB/f.u.
Space-group type   Immm, No. 71
Formation energy from raw total energies   0.307 eV per atom
V   99.9 Å³/f.u.

***

Record 10
First-principles (GGA-PBE) data for a relaxed structure of LaPuNiOs, as listed in the Alexandria database.

Geometry as POSCAR:
```
LaPuNiOs
1.0
6.936 0.000 0.000
0.000 6.936 0.000
0.000 0.000 6.936
La Pu Ni Os
4 4 4 4
direct
0.000 0.000 0.000
0.000 0.500 0.500
0.500 0.000 0.500
0.500 0.500 0.000
0.000 0.000 0.500
0.000 0.500 0.000
0.500 0.000 0.000
0.500 0.500 0.500
0.250 0.250 0.750
0.250 0.750 0.250
0.750 0.250 0.250
0.750 0.750 0.750
0.250 0.250 0.250
0.250 0.750 0.750
0.750 0.250 0.750
0.750 0.750 0.250
```

Output
Total magnetization   4.6 μB/f.u.
DFT total energy   -9.05 eV per atom
Space-group type   F-43m, No. 216
V   83.4 Å³/f.u.

***

Record 11
First-principles (GGA-PBE) data for a relaxed structure of ScCrW3, as listed in the Alexandria database.

Geometry as POSCAR:
```
ScCrW3
1.0
4.544 0.000 0.000
0.000 4.544 0.000
0.000 0.000 4.544
Sc Cr W
1 1 3
direct
0.000 0.000 0.000
0.500 0.500 0.500
0.000 0.000 0.500
0.000 0.500 0.000
0.500 0.000 0.000
```

Output
Total magnetization   0.0 μB/f.u.
Space-group type   Pm-3m, No. 221
Offset from the most stable computed form   1588 meV per atom
V   93.8 Å³/f.u.

***

Record 12
First-principles (GGA-PBE) data for a relaxed structure of Ti2MnHRu, as listed in the Alexandria database.

Geometry as POSCAR:
```
Ti2MnHRu
1.0
4.283 0.000 0.000
0.000 4.283 0.000
0.000 0.000 3.185
Ti Mn H Ru
2 1 1 1
direct
0.000 0.500 0.000
0.500 0.000 0.000
0.000 0.000 0.500
0.000 0.000 0.000
0.500 0.500 0.500
```

Output
Total magnetization   0.4 μB/f.u.
DFT total energy   -7.96 eV per atom
Space-group type   P4/mmm, No. 123
V   58.4 Å³/f.u.

***

Record 13
First-principles (GGA-PBE) data for a relaxed structure of AgSe5, as listed in the Alexandria database.

Geometry as POSCAR:
```
AgSe5
1.0
4.147 0.000 0.000
0.000 18.969 0.000
0.000 0.000 4.180
Ag Se
2 10
direct
0.000 0.000 0.000
0.500 0.500 0.000
0.000 0.218 0.500
0.000 0.406 0.000
0.000 0.500 0.500
0.000 0.594 0.000
0.000 0.782 0.500
0.500 0.000 0.500
0.500 0.094 0.000
0.500 0.282 0.500
0.500 0.718 0.500
0.500 0.906 0.000
```

Output
Total magnetization   0.0 μB/f.u.
Space-group type   Cmmm, No. 65
Formation energy from raw total energies   0.245 eV per atom
Offset from the most stable computed form   178 meV per atom
V   164.4 Å³/f.u.

***

Record 14
First-principles (GGA-PBE) data for a relaxed structure of GdPuAlGe, as listed in the Alexandria database.

Geometry as POSCAR:
```
GdPuAlGe
1.0
7.187 0.000 0.000
0.000 7.187 0.000
0.000 0.000 7.187
Gd Pu Al Ge
4 4 4 4
direct
0.000 0.000 0.000
0.000 0.500 0.500
0.500 0.000 0.500
0.500 0.500 0.000
0.000 0.000 0.500
0.000 0.500 0.000
0.500 0.000 0.000
0.500 0.500 0.500
0.250 0.250 0.250
0.250 0.750 0.750
0.750 0.250 0.750
0.750 0.750 0.250
0.250 0.250 0.750
0.250 0.750 0.250
0.750 0.250 0.250
0.750 0.750 0.750
```

Output
Total magnetization   12.7 μB/f.u.
DFT total energy   -9.54 eV per atom
Space-group type   F-43m, No. 216
V   92.8 Å³/f.u.

***

Record 15
First-principles (GGA-PBE) data for a relaxed structure of Y7SnGe5, as listed in the Alexandria database.

Geometry as POSCAR:
```
Y7SnGe5
1.0
-2.958 5.537 4.973
2.958 -5.537 4.973
2.958 5.537 -4.973
Y Sn Ge
7 1 5
direct
0.000 0.000 0.000
0.304 0.633 0.671
0.377 0.377 0.000
0.423 0.087 0.336
0.751 0.087 0.664
0.850 0.350 0.500
0.961 0.633 0.329
0.686 0.686 0.000
0.103 0.138 0.512
0.103 0.591 0.965
0.354 0.854 0.500
0.626 0.138 0.035
0.626 0.591 0.488
```

Output
Total magnetization   0.0 μB/f.u.
DFT total energy   -6.13 eV per atom
Space-group type   Imm2, No. 44
V   325.8 Å³/f.u.

***

Record 16
First-principles (GGA-PBE) data for a relaxed structure of BaInPd3, as listed in the Alexandria database.

Geometry as POSCAR:
```
BaInPd3
1.0
5.411 0.000 0.000
0.000 5.411 0.000
0.000 0.000 5.411
Ba In Pd
1 1 3
direct
0.000 0.000 0.000
0.500 0.500 0.500
0.000 0.000 0.500
0.000 0.500 0.000
0.500 0.000 0.000
```

Output
Total magnetization   0.0 μB/f.u.
Space-group type   Pm-3m, No. 221
Offset from the most stable computed form   1353 meV per atom
V   158.4 Å³/f.u.

***

Record 17
First-principles (GGA-PBE) data for a relaxed structure of Sr8Sn3H2, as listed in the Alexandria database.

Geometry as POSCAR:
```
Sr8Sn3H2
1.0
3.698 2.135 9.449
-3.698 2.135 9.449
0.000 -4.270 9.449
Sr Sn H
8 3 2
direct
0.184 0.184 0.184
0.229 0.229 0.722
0.229 0.722 0.229
0.278 0.771 0.771
0.722 0.229 0.229
0.771 0.278 0.771
0.771 0.771 0.278
0.816 0.816 0.816
0.297 0.297 0.297
0.500 0.500 0.500
0.703 0.703 0.703
0.099 0.099 0.099
0.901 0.901 0.901
```

Output
Total magnetization   0.2 μB/f.u.
DFT total energy   -2.94 eV per atom
Space-group type   R-3m, No. 166
V   447.5 Å³/f.u.

***

Record 18
First-principles (GGA-PBE) data for a relaxed structure of Ca2HfTaAs4, as listed in the Alexandria database.

Geometry as POSCAR:
```
Ca2HfTaAs4
1.0
6.704 0.000 0.000
0.000 3.861 0.000
-2.218 0.000 6.836
Ca Hf Ta As
2 1 1 4
direct
0.000 0.000 0.000
0.500 0.500 0.000
0.000 0.500 0.500
0.500 0.000 0.500
0.247 0.000 0.724
0.265 0.500 0.279
0.735 0.500 0.721
0.753 0.000 0.276
```

Output
Total magnetization   0.0 μB/f.u.
DFT total energy   -6.49 eV per atom
Space-group type   P2/m, No. 10
V   176.9 Å³/f.u.

***

Record 19
First-principles (GGA-PBE) data for a relaxed structure of KLaIO6, as listed in the Alexandria database.

Geometry as POSCAR:
```
KLaIO6
1.0
5.963 0.000 0.000
-2.981 5.164 0.000
0.000 0.000 5.638
K La I O
1 1 1 6
direct
0.000 0.000 0.000
0.333 0.667 0.500
0.667 0.333 0.500
0.411 0.064 0.691
0.411 0.346 0.309
0.654 0.064 0.309
0.654 0.589 0.691
0.936 0.346 0.691
0.936 0.589 0.309
```

Output
Total magnetization   1.1 μB/f.u.
Space-group type   P312, No. 149
Formation energy from raw total energies   -1.357 eV per atom
V   173.6 Å³/f.u.

***

Record 20
First-principles (GGA-PBE) data for a relaxed structure of YCoRh, as listed in the Alexandria database.

Geometry as POSCAR:
```
YCoRh
1.0
4.985 0.000 0.000
0.000 5.452 0.000
0.000 0.000 7.416
Y Co Rh
4 4 4
direct
0.000 0.250 0.119
0.000 0.750 0.881
0.500 0.250 0.381
0.500 0.750 0.619
0.250 0.250 0.750
0.250 0.750 0.250
0.750 0.250 0.750
0.750 0.750 0.250
0.000 0.000 0.500
0.000 0.500 0.500
0.500 0.000 0.000
0.500 0.500 0.000
```

Output
Total magnetization   1.2 μB/f.u.
DFT total energy   -7.45 eV per atom
Space-group type   Imma, No. 74
V   50.4 Å³/f.u.

***

Record 21
First-principles (GGA-PBE) data for a relaxed structure of Ba2CaCr, as listed in the Alexandria database.

Geometry as POSCAR:
```
Ba2CaCr
1.0
4.278 0.000 0.000
0.000 6.395 0.000
0.000 0.000 12.848
Ba Ca Cr
4 2 2
direct
0.000 0.000 0.000
0.000 0.500 0.202
0.500 0.000 0.702
0.500 0.500 0.500
0.000 0.500 0.797
0.500 0.000 0.297
0.000 0.000 0.483
0.500 0.500 0.983
```

Output
Total magnetization   4.2 μB/f.u.
Space-group type   Imm2, No. 44
Offset from the most stable computed form   23 meV per atom
V   175.8 Å³/f.u.

***

Record 22
First-principles (GGA-PBE) data for a relaxed structure of PaFeB4, as listed in the Alexandria database.

Geometry as POSCAR:
```
PaFeB4
1.0
3.634 -4.666 0.000
3.634 4.666 0.000
0.000 0.000 3.451
Pa Fe B
2 2 8
direct
0.200 0.800 0.000
0.800 0.200 0.000
0.318 0.318 0.000
0.682 0.682 0.000
0.122 0.432 0.500
0.128 0.128 0.500
0.410 0.590 0.500
0.432 0.122 0.500
0.568 0.878 0.500
0.590 0.410 0.500
0.872 0.872 0.500
0.878 0.568 0.500
```

Output
Total magnetization   0.0 μB/f.u.
DFT total energy   -8.07 eV per atom
Space-group type   Cmmm, No. 65
V   58.5 Å³/f.u.

***

Record 23
First-principles (GGA-PBE) data for a relaxed structure of Hf2ScN4, as listed in the Alexandria database.

Geometry as POSCAR:
```
Hf2ScN4
1.0
1.573 -5.265 0.000
1.573 5.265 0.000
0.000 0.000 10.177
Hf Sc N
4 2 8
direct
0.132 0.868 0.573
0.132 0.868 0.927
0.868 0.132 0.073
0.868 0.132 0.427
0.391 0.609 0.750
0.609 0.391 0.250
0.030 0.970 0.750
0.233 0.767 0.121
0.233 0.767 0.379
0.500 0.500 0.000
0.500 0.500 0.500
0.767 0.233 0.621
0.767 0.233 0.879
0.970 0.030 0.250
```

Output
Total magnetization   0.0 μB/f.u.
Space-group type   Cmcm, No. 63
Formation energy from raw total energies   -1.442 eV per atom
V   84.3 Å³/f.u.

***

Record 24
First-principles (GGA-PBE) data for a relaxed structure of MgCd2Ag4, as listed in the Alexandria database.

Geometry as POSCAR:
```
MgCd2Ag4
1.0
2.997 0.000 0.000
0.000 22.368 0.000
0.000 0.000 4.579
Mg Cd Ag
2 4 8
direct
0.000 0.000 0.000
0.500 0.500 0.000
0.000 0.425 0.500
0.000 0.575 0.500
0.500 0.075 0.500
0.500 0.925 0.500
0.000 0.124 0.000
0.000 0.197 0.500
0.000 0.803 0.500
0.000 0.876 0.000
0.500 0.303 0.500
0.500 0.376 0.000
0.500 0.624 0.000
0.500 0.697 0.500
```

Output
Total magnetization   0.0 μB/f.u.
Space-group type   Cmmm, No. 65
Offset from the most stable computed form   0 meV per atom
V   153.5 Å³/f.u.

***

Record 25
First-principles (GGA-PBE) data for a relaxed structure of KRhSe2, as listed in the Alexandria database.

Geometry as POSCAR:
```
KRhSe2
1.0
4.424 0.000 0.000
0.000 4.194 0.000
0.000 0.000 12.482
K Rh Se
2 2 4
direct
0.000 0.000 0.000
0.000 0.500 0.500
0.500 0.000 0.778
0.500 0.500 0.278
0.000 0.000 0.706
0.000 0.500 0.206
0.500 0.000 0.373
0.500 0.500 0.873
```

Output
Total magnetization   0.0 μB/f.u.
Space-group type   Amm2, No. 38
Formation energy from raw total energies   -0.503 eV per atom
V   115.8 Å³/f.u.